Compound: HoZnCd3
Source: the Alexandria database
Functional: PBE
Structure: optimized geometry

Calculated values
**E above lowest polymorph**: 0.0 meV per atom
**ΔH_f (0 K)**: -0.1895 eV/atom
**VASP energy**: -1.91 eV/atom

a = 4.3704 Å, b = 7.0210 Å, c = 7.5003 Å
α = 75.71°, β = 90.00°, γ = 90.00°
Atoms (fractional coordinates):
Ho1 0.3810 0.5378 0.2372
Ho2 0.8810 0.1370 0.5689
Zn1 0.3810 0.8113 0.6400
Zn2 0.8810 0.8635 0.1660
Cd1 0.8810 0.6279 0.5084
Cd2 0.3810 0.0469 0.2976
Cd3 0.8810 0.6844 0.8824
Cd4 0.8810 0.2754 0.0626
Cd5 0.3810 0.3994 0.7435
Cd6 0.3810 0.9904 0.9236